*w*
SrLi2Pt: relaxed, PBEsol.

Unit cell a=5.670 b=5.670 c=5.670 alpha=45.22 beta=45.22 gamma=45.22
Fractional coordinates of all 4 atoms:
Sr (0.000, 0.000, 0.000)
Li (0.201, 0.201, 0.201)
Li (0.799, 0.799, 0.799)
Pt (0.500, 0.500, 0.500)

density of states at the Fermi level: 1.32 states/eV per cell
total magnetization: 0.0 Bohr magnetons per cell
space group: R-3m
calculated volume: 83.63 Å³/cell

=====

*x*
SrLi2Pt: relaxed, PBEsol.

Unit cell a=4.337 b=4.818 c=4.354 alpha=90.00 beta=95.63 gamma=90.00
Fractional coordinates of all 4 atoms:
Sr (0.000, 0.000, 0.000)
Li (0.319, 0.500, 0.680)
Li (0.681, 0.500, 0.320)
Pt (0.500, 0.000, 0.500)

density of states at the Fermi level: 1.27 states/eV per cell
total magnetization: 0.0 Bohr magnetons per cell
space group: P2/m
calculated volume: 90.54 Å³/cell

=====

Most stable to least stable: *w*, *x*

=====

*w*
SrLi2Pt: relaxed, PBEsol.

Unit cell a=4.818 b=4.818 c=5.063 alpha=105.34 beta=105.34 gamma=47.26
Fractional coordinates of all 4 atoms:
Sr (0.000, 0.000, 0.000)
Li (0.209, 0.209, 0.628)
Li (0.791, 0.791, 0.372)
Pt (0.500, 0.500, 0.500)

density of states at the Fermi level: 1.56 states/eV per cell
total magnetization: 0.0 Bohr magnetons per cell
space group: C2/m
calculated volume: 82.63 Å³/cell

=====

*x*
SrLi2Pt: relaxed, PBEsol.

Unit cell a=3.936 b=4.029 c=6.306 alpha=90.00 beta=107.15 gamma=90.00
Fractional coordinates of all 4 atoms:
Sr (0.000, 0.000, 0.000)
Li (0.292, 0.000, 0.556)
Li (0.767, 0.500, 0.509)
Pt (0.405, 0.500, 0.798)

density of states at the Fermi level: 1.51 states/eV per cell
total magnetization: 0.0 Bohr magnetons per cell
space group: Pm
calculated volume: 95.57 Å³/cell

=====

*y*
SrLi2Pt: relaxed, PBEsol.

Unit cell a=4.752 b=4.752 c=4.752 alpha=60.00 beta=60.00 gamma=60.00
Fractional coordinates of all 4 atoms:
Sr (0.000, 0.000, 0.000)
Li (0.250, 0.250, 0.250)
Li (0.750, 0.750, 0.750)
Pt (0.500, 0.500, 0.500)

density of states at the Fermi level: 1.62 states/eV per cell
total magnetization: 0.0 Bohr magnetons per cell
space group: Fm-3m
calculated volume: 75.88 Å³/cell

=====

Most stable to least stable: *w*, *x*, *y*

=====

*w*
Sr2LiPt2: relaxed, PBEsol.

Unit cell a=7.610 b=7.610 c=4.242 alpha=90.00 beta=90.00 gamma=90.00
Fractional coordinates of all 10 atoms:
Sr (0.171, 0.329, 0.000)
Sr (0.329, 0.829, 0.000)
Sr (0.671, 0.171, 0.000)
Sr (0.829, 0.671, 0.000)
Li (0.000, 0.000, 0.500)
Li (0.500, 0.500, 0.500)
Pt (0.125, 0.625, 0.500)
Pt (0.375, 0.125, 0.500)
Pt (0.625, 0.875, 0.500)
Pt (0.875, 0.375, 0.500)

density of states at the Fermi level: 3.39 states/eV per cell
total magnetization: 0.0 Bohr magnetons per cell
space group: P4/mbm
calculated volume: 245.64 Å³/cell

=====

*x*
Sr2LiPt2: relaxed, PBEsol.

Unit cell a=5.693 b=5.693 c=5.693 alpha=118.64 beta=118.64 gamma=92.37
Fractional coordinates of all 5 atoms:
Sr (0.250, 0.750, 0.500)
Sr (0.750, 0.250, 0.500)
Li (0.000, 0.000, 0.000)
Pt (0.334, 0.334, 0.000)
Pt (0.666, 0.666, 0.000)

density of states at the Fermi level: 1.54 states/eV per cell
total magnetization: 0.0 Bohr magnetons per cell
space group: I4/mmm
calculated volume: 133.04 Å³/cell

=====

Most stable to least stable: *w*, *x*

=====

*w*
SrLiPt: relaxed, PBEsol.

Unit cell a=4.346 b=4.346 c=4.107 alpha=90.00 beta=90.00 gamma=120.00
Fractional coordinates of all 3 atoms:
Sr (0.000, 0.000, 0.000)
Li (0.667, 0.333, 0.500)
Pt (0.333, 0.667, 0.500)

density of states at the Fermi level: 1.32 states/eV per cell
total magnetization: 0.0 Bohr magnetons per cell
space group: P-6m2
calculated volume: 67.17 Å³/cell

=====

*x*
SrLiPt: relaxed, PBEsol.

Unit cell a=4.827 b=4.827 c=4.827 alpha=60.00 beta=60.00 gamma=60.00
Fractional coordinates of all 3 atoms:
Sr (0.000, 0.000, 0.000)
Li (0.750, 0.750, 0.750)
Pt (0.250, 0.250, 0.250)

density of states at the Fermi level: 2.50 states/eV per cell
total magnetization: 0.0 Bohr magnetons per cell
space group: F-43m
calculated volume: 79.50 Å³/cell

=====

Most stable to least stable: *w*, *x*